Record 1
First-principles (PBE-GGA) data for crystalline HfMnGa3 at its relaxed geometry, as listed in the Alexandria database.

E_form, eV/atom: -0.11
Crystal system: orthorhombic

Unit cell a=4.0455 b=6.3672 c=6.6284 alpha=90.00 beta=90.00 gamma=90.00
Last column: nearest neighbours and their distance in Å.
Positions (direct):
Ga  0.7500  0.7500  0.0690  1 Mn 2.55, 4 Ga 2.84
Ga  0.2500  0.2500  0.9310  1 Mn 2.55, 4 Ga 2.84
Ga  0.7500  0.4506  0.7001  3 Mn 2.51-2.60, 1 Ga 2.55, 2 Hf 2.81
Mn  0.2500  0.2500  0.5466  7 Ga 2.51-2.60
Hf  0.7500  0.2500  0.2389  6 Ga 2.81-2.87, 2 Mn 2.87
Ga  0.2500  0.9506  0.2999  3 Mn 2.51-2.60, 1 Ga 2.55, 2 Hf 2.81
Mn  0.7500  0.7500  0.4534  7 Ga 2.51-2.60
Hf  0.2500  0.7500  0.7611  6 Ga 2.81-2.87, 2 Mn 2.87
Ga  0.7500  0.0494  0.7001  3 Mn 2.51-2.60, 1 Ga 2.55, 2 Hf 2.81
Ga  0.2500  0.5494  0.2999  3 Mn 2.51-2.60, 1 Ga 2.55, 2 Hf 2.81


Record 2
First-principles (PBE-GGA) data for crystalline Ba5Si2Sb at its relaxed geometry, as listed in the Alexandria database.

Raw formation energy, eV per formula unit: -4.6
Crystal system: tetragonal

Unit cell a=8.7653 b=8.7653 c=10.2746 alpha=115.25 beta=115.25 gamma=90.00
Last column: nearest neighbours and their distance in Å.
Positions (direct):
Ba  0.3159  0.8159  0.2808  3 Si 3.41-3.59, 2 Sb 3.70
Ba  0.0351  0.5351  0.7192  3 Si 3.41-3.59, 2 Sb 3.70
Ba  0.9649  0.4649  0.2808  3 Si 3.41-3.59, 2 Sb 3.70
Sb  0.7500  0.7500  0.5000  10 Ba 3.70-4.10
Ba  0.4649  0.3159  0.2808  3 Si 3.41-3.59, 2 Sb 3.70
Ba  0.1841  0.0351  0.7192  3 Si 3.41-3.59, 2 Sb 3.70
Si  0.1019  0.3981  0.0000  1 Si 2.53
Si  0.8981  0.6019  0.0000  1 Si 2.53
Si  0.3981  0.8981  0.0000  1 Si 2.53
Ba  0.8159  0.9649  0.2808  3 Si 3.41-3.59, 2 Sb 3.70
Ba  0.5000  0.5000  0.0000  4 Si 3.60, 8 Ba 3.97
Ba  0.5351  0.6841  0.7192  3 Si 3.41-3.59, 2 Sb 3.70
Ba  0.6841  0.1841  0.7192  3 Si 3.41-3.59, 2 Sb 3.70
Ba  0.0000  0.0000  0.0000  4 Si 3.60, 8 Ba 3.97
Si  0.6019  0.1019  0.0000  1 Si 2.53
Sb  0.2500  0.2500  0.5000  10 Ba 3.70-4.10


Record 3
First-principles (PBE-GGA) data for crystalline GeMo2Au at its relaxed geometry, as listed in the Alexandria database.

E_form, eV/atom: 0.53
Crystal system: tetragonal

Unit cell a=7.2201 b=7.2201 c=5.7641 alpha=51.22 beta=51.22 gamma=90.00
Last column: nearest neighbours and their distance in Å.
Positions (direct):
Mo  0.5969  0.1250  0.2500  2 Ge 2.50, 2 Mo 2.71, 2 Au 2.78
Au  0.0000  0.0000  0.0000  2 Ge 2.68, 4 Mo 2.78
Mo  0.3750  0.4031  0.7500  2 Ge 2.50, 2 Mo 2.71, 2 Au 2.78
Mo  0.1531  0.6250  0.2500  2 Ge 2.50, 2 Mo 2.71, 2 Au 2.78
Mo  0.8750  0.8469  0.7500  2 Ge 2.50, 2 Mo 2.71, 2 Au 2.78
Ge  0.2500  0.7500  0.5000  4 Mo 2.50, 2 Au 2.68
Au  0.7500  0.2500  0.5000  2 Ge 2.68, 4 Mo 2.78
Ge  0.5000  0.5000  0.0000  4 Mo 2.50, 2 Au 2.68


Record 4
First-principles (PBE-GGA) data for crystalline ZnReCl2 at its relaxed geometry, as listed in the Alexandria database.

Raw formation energy, eV per formula unit: 1.3
Crystal system: tetragonal

Unit cell a=8.0813 b=8.0813 c=6.2760 alpha=49.92 beta=49.92 gamma=90.00
Last column: nearest neighbours and their distance in Å.
Positions (direct):
Re  0.0000  0.0000  0.0000  4 Cl 2.33, 2 Zn 2.60
Cl  0.7547  0.1250  0.2500  2 Re 2.33
Zn  0.5000  0.5000  0.0000  2 Re 2.60
Zn  0.2500  0.7500  0.5000  2 Re 2.60
Cl  0.3750  0.2453  0.7500  2 Re 2.33
Re  0.7500  0.2500  0.5000  4 Cl 2.33, 2 Zn 2.60
Cl  0.9953  0.6250  0.2500  2 Re 2.33
Cl  0.8750  0.0047  0.7500  2 Re 2.33


Record 5
First-principles (PBE-GGA) data for crystalline Sr4CdP at its relaxed geometry, as listed in the Alexandria database.

E_form, eV/atom: 0.48
Crystal system: cubic

Unit cell a=6.9815 b=6.9815 c=6.9815 alpha=60.00 beta=60.00 gamma=60.00
Last column: nearest neighbours and their distance in Å.
Positions (direct):
Sr  0.3742  0.8775  0.3742  6 Sr 3.47-3.51
Cd  0.7500  0.7500  0.7500  12 Sr 4.10, 4 P 4.28
Sr  0.3742  0.3742  0.3742  6 Sr 3.47-3.51
Sr  0.8775  0.3742  0.3742  6 Sr 3.47-3.51
P  0.0000  0.0000  0.0000  12 Sr 4.09, 4 Cd 4.28
Sr  0.3742  0.3742  0.8775  6 Sr 3.47-3.51


Record 6
First-principles (PBE-GGA) data for crystalline CaSc2Co at its relaxed geometry, as listed in the Alexandria database.

E_form, eV/atom: -0.01
Crystal system: orthorhombic

Unit cell a=5.8321 b=5.8321 c=5.4398 alpha=62.21 beta=62.21 gamma=34.17
Last column: nearest neighbours and their distance in Å.
Positions (direct):
Sc  0.9364  0.9364  0.0636  2 Co 2.50
Sc  0.5636  0.5636  0.4364  2 Co 2.50
Ca  0.7500  0.7500  0.7500  4 Co 3.21, 8 Sc 3.27-3.50, 2 Ca 3.43
Co  0.2500  0.2500  0.2500  4 Sc 2.50


Record 7
First-principles (PBE-GGA) data for crystalline YMg2ZrZn at its relaxed geometry, as listed in the Alexandria database.

E_form, eV/atom: 1.22
Crystal system: tetragonal

Unit cell a=5.3451 b=5.0523 c=5.3451 alpha=90.00 beta=90.00 gamma=90.00
Last column: nearest neighbours and their distance in Å.
Positions (direct):
Mg  0.0000  0.0000  0.5000  2 Y 2.67
Zr  0.5000  0.5000  0.5000  8 Mg 3.68, 4 Zn 3.78
Y  0.0000  0.0000  0.0000  2 Zn 2.53, 4 Mg 2.67
Mg  0.5000  0.0000  0.0000  2 Y 2.67
Zn  0.0000  0.5000  0.0000  2 Y 2.53


Record 8
First-principles (PBE-GGA) data for crystalline La2Nd2Cd at its relaxed geometry, as listed in the Alexandria database.

E_form, eV/atom: -0.06
Crystal system: monoclinic

Unit cell a=8.8400 b=6.4820 c=9.4066 alpha=68.29 beta=57.15 gamma=47.01
Last column: nearest neighbours and their distance in Å.
Positions (direct):
La  0.5936  0.0000  0.1205  4 Nd 3.43-3.64, 3 La 3.46-3.70, 4 Cd 3.47-3.68
Cd  0.1576  0.6848  0.0000  1 Cd 2.99, 2 Nd 3.19
Cd  0.8424  0.3152  0.0000  1 Cd 2.99, 2 Nd 3.19
La  0.7344  0.0000  0.4264  6 Nd 3.52-3.94, 3 La 3.59-3.70, 2 Cd 3.69
Nd  0.6750  0.3751  0.7206  2 Cd 3.19-3.45, 3 La 3.43-3.57, 2 Nd 3.49-3.56
Nd  0.3250  0.6249  0.2794  2 Cd 3.19-3.45, 3 La 3.43-3.57, 2 Nd 3.49-3.56
Nd  0.0502  0.6249  0.7206  2 Cd 3.19-3.45, 3 La 3.43-3.57, 2 Nd 3.49-3.56
La  0.2656  0.0000  0.5736  6 Nd 3.52-3.94, 3 La 3.59-3.70, 2 Cd 3.69
La  0.4064  0.0000  0.8795  4 Nd 3.43-3.64, 3 La 3.46-3.70, 4 Cd 3.47-3.68
Nd  0.9498  0.3751  0.2794  2 Cd 3.19-3.45, 3 La 3.43-3.57, 2 Nd 3.49-3.56


Energy, record by record: -5.75 -3.64 -6.86 -4.03 -1.70 -5.45 -2.68 -4.12 eV per atom